[1]
A plane-wave DFT calculation with PBE was carried out for an optimized crystal structure of PrGd2Zn.

Geometry as extended XYZ:
```
4
Lattice="-0.2051 1.5895 3.2395 2.9028 -1.8548 1.0939 5.2386 6.5103 -2.8627" Properties=species:S:1:pos:R:3 pbc="T T T"
Pr 3.9681 3.1225 0.7354
Zn 1.3488 -0.1326 2.1667
Gd 4.1776 5.1917 -2.2829
Gd 1.0610 1.3186 -0.5798
```

## Properties
Spin magnetization, μB per formula unit: 14.73
Energy of formation from the pure elements, kJ per mole of atoms: -15.9

[2]
A plane-wave DFT calculation with PBE was carried out for an optimized crystal structure of Sc2ZnRhAu.

Geometry as extended XYZ:
```
5
Lattice="-4.4818 0.5852 -2.3300 -0.3109 -4.6082 -0.5592 -2.3782 -0.3830 4.4783" Properties=species:S:1:pos:R:3 pbc="T T T"
Sc -1.1891 -0.1915 2.2392
Sc -2.2409 0.2926 -1.1650
Rh -3.5855 -2.2030 0.7945
Zn -0.1555 -2.3041 -0.2796
Au 0.0000 0.0000 0.0000
```

## Properties
Spin magnetization, μB per formula unit: 0.00
Energy of formation from the pure elements, kJ per mole of atoms: 29.3

[3]
A plane-wave DFT calculation with PBE was carried out for an optimized crystal structure of DyNiGe2Pd.

Geometry as extended XYZ:
```
5
Lattice="4.1706 0.0000 0.0000 0.0000 4.1706 0.0000 -2.0853 -2.0853 5.0290" Properties=species:S:1:pos:R:3 pbc="T T T"
Dy 0.0000 0.0000 0.0000
Ni 0.0000 2.0853 2.5145
Ge 2.0853 2.0853 1.2354
Ge 0.0000 0.0000 3.7936
Pd 2.0853 0.0000 2.5145
```

## Properties
Spin magnetization, μB per formula unit: 0.00
Energy of formation from the pure elements, kJ per mole of atoms: -68.9

[4]
A plane-wave DFT calculation with PBE was carried out for an optimized crystal structure of Pu6AsF12.

Geometry as extended XYZ:
```
19
Lattice="6.9273 -0.1277 -0.8686 -0.9685 6.8604 -0.8687 -0.1130 -0.1277 6.9806" Properties=species:S:1:pos:R:3 pbc="T T T"
Pu 4.9970 2.1367 4.4820
Pu 4.6196 5.2196 1.0192
Pu 1.5137 5.2196 4.4820
Pu 1.2261 1.3854 4.2241
Pu 0.8487 4.4683 0.7613
Pu 4.3321 1.3854 0.7613
As 0.0000 0.0000 0.0000
F 5.8411 0.7197 2.6217
F 3.1727 1.2475 2.8457
F 2.9213 3.3007 0.5394
F 4.9930 3.3042 2.3976
F 2.9244 3.3042 4.7039
F 2.6731 5.3575 2.3976
F 2.6067 5.8853 -0.2794
F 0.3208 3.3025 5.5227
F 0.0046 5.8853 2.6216
F 3.2390 0.7197 5.5227
F 5.5250 3.3025 -0.2794
F 0.8528 3.3007 2.8457
```

## Properties
Spin magnetization, μB per formula unit: 33.00
Raw formation energy, eV/atom: -3.0255

[5]
A plane-wave DFT calculation with PBE was carried out for an optimized crystal structure of Ba3NaO.

Geometry as extended XYZ:
```
10
Lattice="-3.6244 1.7240 -7.5460 -8.2629 -3.8707 -3.0605 -7.5905 3.8778 0.4899" Properties=species:S:1:pos:R:3 pbc="T T T"
Ba -6.4034 2.4350 -6.7973
Ba -12.8235 2.5777 -4.7280
Ba -10.1982 4.9490 -6.7086
Ba -8.3864 3.5116 -2.7790
Ba -10.8401 1.5008 -8.7460
Ba -4.5905 2.1479 -3.1807
Na -9.3248 -0.0771 -4.9288
Na -14.9322 2.7236 -8.4566
O -6.6205 2.1977 -1.5551
O -4.6372 1.1212 -5.5728
```

## Properties
Spin magnetization, μB per formula unit: 0.00
Raw formation energy, eV/atom: -0.9602

[6]
A plane-wave DFT calculation with PBE was carried out for an optimized crystal structure of ZrAsI2.

Geometry as extended XYZ:
```
4
Lattice="-2.9608 -5.2878 1.7979 3.5344 -1.6822 0.8727 -0.4653 2.7032 7.0952" Properties=species:S:1:pos:R:3 pbc="T T T"
I -1.6920 -1.3684 4.2145
I 0.9980 1.1308 7.3526
As -3.1088 -3.9660 4.9454
Zr 0.9646 -0.1703 4.9799
```

## Properties
Spin magnetization, μB per formula unit: 0.00
Raw formation energy, eV/atom: -0.4353